Record 1
VASP calculation (meta-GGA SCAN) on a crystal of NiSn3F relaxed with PBEsol.

Cell: 4.839 4.839 4.839 Å, 90.00 90.00 90.00°
Positions (direct):
Ni (0.000, 0.000, 0.000)
Sn (0.000, 0.000, 0.500)
Sn (0.000, 0.500, 0.000)
Sn (0.500, 0.000, 0.000)
F (0.500, 0.500, 0.500)

Calculated values
uncorrected formation energy	-0.271	eV/atom
D(E_F)	3.5	states/eV/f.u.

***

Record 2
VASP calculation (meta-GGA SCAN) on a crystal of SrNi2F relaxed with PBEsol.

Cell: 4.416 4.416 4.416 Å, 60.00 60.00 60.00°
Positions (direct):
Sr (0.000, 0.000, 0.000)
Ni (0.250, 0.250, 0.250)
Ni (0.750, 0.750, 0.750)
F (0.500, 0.500, 0.500)

Calculated values
uncorrected formation energy	0.351	eV/atom
D(E_F)	2.5	states/eV/f.u.

***

Record 3
VASP calculation (meta-GGA SCAN) on a crystal of SrNiF4 relaxed with PBEsol.

Cell: 7.395 7.395 5.568 Å, 90.00 90.00 148.83°
Positions (direct):
Sr (0.155, 0.845, 0.500)
Sr (0.845, 0.155, 0.000)
Ni (0.413, 0.587, 0.445)
Ni (0.587, 0.413, 0.945)
F (0.083, 0.917, 0.921)
F (0.296, 0.704, 0.250)
F (0.336, 0.664, 0.735)
F (0.464, 0.536, 0.104)
F (0.536, 0.464, 0.604)
F (0.664, 0.336, 0.235)
F (0.704, 0.296, 0.750)
F (0.917, 0.083, 0.421)

Calculated values
uncorrected formation energy	-3.236	eV/atom
D(E_F)	0.0	states/eV/f.u.

***

Record 4
VASP calculation (meta-GGA SCAN) on a crystal of Sr2TcNiF relaxed with PBEsol.

Cell: 5.707 5.707 4.264 Å, 90.00 90.00 90.00°
Positions (direct):
Sr (0.000, 0.500, 0.000)
Sr (0.500, 0.000, 0.000)
Tc (0.000, 0.000, 0.500)
Ni (0.000, 0.000, 0.000)
F (0.500, 0.500, 0.500)

Calculated values
uncorrected formation energy	-0.219	eV/atom
D(E_F)	4.6	states/eV/f.u.

***

Record 5
VASP calculation (meta-GGA SCAN) on a crystal of SrYNi2F relaxed with PBEsol.

Cell: 4.482 4.482 6.332 Å, 90.00 90.00 90.00°
Positions (direct):
Sr (0.000, 0.000, 0.000)
Y (0.000, 0.000, 0.500)
Ni (0.000, 0.500, 0.000)
Ni (0.500, 0.000, 0.000)
F (0.500, 0.500, 0.500)

Calculated values
uncorrected formation energy	1.198	eV/atom
D(E_F)	4.2	states/eV/f.u.

***

Record 6
VASP calculation (meta-GGA SCAN) on a crystal of TaNiF2 relaxed with PBEsol.

Cell: 3.963 3.963 3.963 Å, 60.00 60.00 60.00°
Positions (direct):
Ta (0.000, 0.000, 0.000)
Ni (0.500, 0.500, 0.500)
F (0.250, 0.250, 0.250)
F (0.750, 0.750, 0.750)

Calculated values
uncorrected formation energy	-0.424	eV/atom
D(E_F)	1.1	states/eV/f.u.

***

Record 7
VASP calculation (meta-GGA SCAN) on a crystal of TcNiF3 relaxed with PBEsol.

Cell: 3.970 3.970 3.970 Å, 90.00 90.00 90.00°
Positions (direct):
Tc (0.000, 0.000, 0.000)
Ni (0.500, 0.500, 0.500)
F (0.000, 0.500, 0.500)
F (0.500, 0.000, 0.500)
F (0.500, 0.500, 0.000)

Calculated values
uncorrected formation energy	-1.102	eV/atom
D(E_F)	3.5	states/eV/f.u.

***

Record 8
VASP calculation (meta-GGA SCAN) on a crystal of Tc3NiF relaxed with PBEsol.

Cell: 4.417 4.417 4.417 Å, 90.00 90.00 90.00°
Positions (direct):
Tc (0.000, 0.000, 0.500)
Tc (0.000, 0.500, 0.000)
Tc (0.500, 0.000, 0.000)
Ni (0.000, 0.000, 0.000)
F (0.500, 0.500, 0.500)

Calculated values
uncorrected formation energy	1.616	eV/atom
D(E_F)	5.9	states/eV/f.u.